## HfZr2ZnH (PBE)

Data for crystalline HfZr2ZnH at its relaxed geometry.

Results
Polymorph energy (0 for the lowest one) (eV per atom): 0.0000
Spin magnetization (μB per formula unit): 0.00

Cell: 4.3852 4.3852 4.3631 Å, 90.00 90.00 90.00°
With the nearest neighbours (Å) after each atom.
Space group P4/mmm (No. 123)
Inequivalent atoms, fractional coordinates:
Hf 0.0000 0.0000 0.0000 x1  2 H 2.18
Zr 0.0000 0.5000 0.5000 x2  2 H 2.19
Zn 0.5000 0.5000 0.0000 x1  8 Zr 3.09, 4 Hf 3.10
H 0.0000 0.0000 0.5000 x1  2 Hf 2.18, 4 Zr 2.19